[1]
The following is a DFT calculation (PBE-GGA) of K2PuRh2O6 after structural relaxation.

Results
**SG**: C2/m, No. 12
**Uncorrected energy**: -78.77 eV for the cell shown
**Energy relative to the elements, uncorrected**: -1.617 eV per atom

Cell and atoms, written as POSCAR:
```
K2PuRh2O6
1.0
5.5487 -0.0795 -0.0063
-2.8116 4.7843 -0.0063
-1.0386 -1.7852 6.3312
K Pu Rh O
2 1 2 6
Direct
0.8313 0.1687 0.0000 K
0.1687 0.8313 0.0000 K
0.0000 0.0000 0.5000 Pu
0.3343 0.6657 0.5000 Rh
0.6657 0.3343 0.5000 Rh
0.7159 0.7159 0.6789 O
0.0616 0.4136 0.6762 O
0.2841 0.2841 0.3211 O
0.4136 0.0616 0.6762 O
0.9384 0.5864 0.3238 O
0.5864 0.9384 0.3238 O
```

***

[2]
The following is a DFT calculation (PBE-GGA) of NaYNi2 after structural relaxation.

Results
**Formation enthalpy at 0 K**: 0.13 eV per atom
**SG**: Fm-3m, No. 225
**Uncorrected energy**: -18.84 eV for the cell shown

Cell and atoms, written as POSCAR:
```
NaYNi2
1.0
0.0000 3.3088 3.3088
3.3088 0.0000 3.3088
3.3088 3.3088 0.0000
Y Ni Na
1 2 1
Direct
0.5000 0.5000 0.5000 Y
0.2500 0.2500 0.2500 Ni
0.7500 0.7500 0.7500 Ni
0.0000 0.0000 0.0000 Na
```

***

[3]
The following is a DFT calculation (PBE-GGA) of Mn3PCl after structural relaxation.

Results
**SG**: Pm-3m, No. 221
**Uncorrected energy**: -33.38 eV for the cell shown
**Energy relative to the elements, uncorrected**: 0.277 eV per atom

Cell and atoms, written as POSCAR:
```
Mn3PCl
1.0
4.6711 0.0000 0.0000
0.0000 4.6711 0.0000
0.0000 0.0000 4.6711
P Mn Cl
1 3 1
Direct
0.0000 0.0000 0.0000 P
0.0000 0.5000 0.0000 Mn
0.0000 0.0000 0.5000 Mn
0.5000 0.0000 0.0000 Mn
0.5000 0.5000 0.5000 Cl
```

***

[4]
The following is a DFT calculation (PBE-GGA) of Th4Cu5Ni2 after structural relaxation.

Results
**Formation enthalpy at 0 K**: -0.20 eV per atom
**SG**: P2/m, No. 10
**Uncorrected energy**: -63.92 eV for the cell shown

Cell and atoms, written as POSCAR:
```
Th4Cu5Ni2
1.0
3.7978 0.0000 0.0000
0.0000 6.9123 0.3631
0.0000 -0.2247 8.5218
Th Cu Ni
4 5 2
Direct
0.5000 0.7516 0.6202 Th
0.5000 0.2157 0.8489 Th
0.5000 0.2484 0.3798 Th
0.5000 0.7843 0.1511 Th
0.0000 0.5831 0.3687 Cu
0.0000 0.1411 0.1111 Cu
0.0000 0.5000 0.0000 Cu
0.0000 0.8589 0.8889 Cu
0.0000 0.4169 0.6313 Cu
0.0000 0.0537 0.6382 Ni
0.0000 0.9463 0.3618 Ni
```

***

[5]
The following is a DFT calculation (PBE-GGA) of BeCd2 after structural relaxation.

Results
**Formation enthalpy at 0 K**: 0.27 eV per atom
**SG**: Cm, No. 8
**Uncorrected energy**: -9.47 eV for the cell shown

Cell and atoms, written as POSCAR:
```
BeCd2
1.0
1.4121 5.7010 -0.1614
-1.4121 5.7010 -0.1614
0.0000 0.3258 6.8405
Be Cd
2 4
Direct
0.0275 0.0275 0.9051 Be
0.6546 0.6546 0.7492 Be
0.4031 0.4031 0.1872 Cd
0.3464 0.3464 0.7040 Cd
0.0584 0.0584 0.4849 Cd
0.6767 0.6767 0.1362 Cd
```

***

[6]
The following is a DFT calculation (PBE-GGA) of Li3CuH after structural relaxation.

Results
**SG**: Pm-3m, No. 221
**Uncorrected energy**: -10.42 eV for the cell shown

Cell and atoms, written as POSCAR:
```
Li3CuH
1.0
4.7164 0.0000 0.0000
0.0000 4.7164 0.0000
0.0000 0.0000 4.7164
H Cu Li
1 1 3
Direct
0.5000 0.5000 0.5000 H
0.0000 0.0000 0.0000 Cu
0.0000 0.5000 0.0000 Li
0.0000 0.0000 0.5000 Li
0.5000 0.0000 0.0000 Li
```